Entry one
Below is a crystal of RbBaC2 relaxed with PBEsol, with properties calculated at the SCAN level.

DOS at the Fermi energy: 1.97 states/eV per cell
Spin magnetization: 5.00 μB per cell
SG: Fm-3m

a b c (Å): 4.941 4.941 4.941
angles (deg): 60.00 60.00 60.00
Fractional positions:
Rb  0.000  0.000  0.000
Ba  0.500  0.500  0.500
C  0.250  0.250  0.250
C  0.750  0.750  0.750

***

Entry two
Below is a crystal of RbBaC2 relaxed with PBEsol, with properties calculated at the SCAN level.

DOS at the Fermi energy: 4.68 states/eV per cell
Spin magnetization: 0.00 μB per cell
SG: I-42d

a b c (Å): 9.142 9.142 9.142
angles (deg): 147.36 147.36 46.83
Fractional positions:
Rb  0.000  0.000  0.000
Rb  0.750  0.250  0.500
Ba  0.250  0.750  0.500
Ba  0.500  0.500  0.000
C  0.279  0.625  0.154
C  0.375  0.529  0.654
C  0.471  0.125  0.846
C  0.875  0.721  0.346

***

Most stable of them? entry one.

***

Entry one
Below is a crystal of Ba5Ca relaxed with PBEsol, with properties calculated at the SCAN level.

DOS at the Fermi energy: 7.39 states/eV per cell
Spin magnetization: 0.06 μB per cell
SG: Amm2

a b c (Å): 6.961 11.260 11.260
angles (deg): 21.83 90.00 90.00
Fractional positions:
Ba  0.000  0.000  0.000
Ba  0.000  0.324  0.324
Ba  0.500  0.215  0.215
Ba  0.500  0.552  0.552
Ba  0.500  0.885  0.885
Ca  0.000  0.662  0.662

***

Entry two
Below is a crystal of Ba5Ca relaxed with PBEsol, with properties calculated at the SCAN level.

DOS at the Fermi energy: 6.69 states/eV per cell
Spin magnetization: 0.37 μB per cell
SG: P4/mmm

a b c (Å): 4.845 4.845 14.120
angles (deg): 90.00 90.00 90.00
Fractional positions:
Ba  0.000  0.000  0.000
Ba  0.000  0.000  0.347
Ba  0.000  0.000  0.653
Ba  0.500  0.500  0.173
Ba  0.500  0.500  0.827
Ca  0.500  0.500  0.500

***

Most stable of them? entry two.

***

Entry one
Below is a crystal of Ba5Ca relaxed with PBEsol, with properties calculated at the SCAN level.

DOS at the Fermi energy: 7.50 states/eV per cell
Spin magnetization: 0.06 μB per cell
SG: P-62m

a b c (Å): 7.376 7.376 6.963
angles (deg): 90.00 90.00 120.00
Fractional positions:
Ba  0.000  0.329  0.000
Ba  0.329  0.000  0.000
Ba  0.333  0.667  0.500
Ba  0.667  0.333  0.500
Ba  0.671  0.671  0.000
Ca  0.000  0.000  0.500

***

Entry two
Below is a crystal of Ba5Ca relaxed with PBEsol, with properties calculated at the SCAN level.

DOS at the Fermi energy: 7.77 states/eV per cell
Spin magnetization: 0.01 μB per cell
SG: Cmmm

a b c (Å): 7.958 7.958 6.768
angles (deg): 90.00 90.00 129.72
Fractional positions:
Ba  0.000  0.000  0.000
Ba  0.161  0.839  0.500
Ba  0.338  0.662  0.000
Ba  0.662  0.338  0.000
Ba  0.839  0.161  0.500
Ca  0.500  0.500  0.500

***

Most stable of them? entry two.

***

Entry one
Below is a crystal of Ba2Ca relaxed with PBEsol, with properties calculated at the SCAN level.

DOS at the Fermi energy: 8.10 states/eV per cell
Spin magnetization: 0.42 μB per cell
SG: P6_3/mmc

a b c (Å): 6.727 6.727 8.036
angles (deg): 90.00 90.00 120.00
Fractional positions:
Ba  0.000  0.000  0.000
Ba  0.000  0.000  0.500
Ba  0.333  0.667  0.250
Ba  0.667  0.333  0.750
Ca  0.333  0.667  0.750
Ca  0.667  0.333  0.250

***

Entry two
Below is a crystal of Ba2Ca relaxed with PBEsol, with properties calculated at the SCAN level.

DOS at the Fermi energy: 4.29 states/eV per cell
Spin magnetization: 0.41 μB per cell
SG: I4/mmm

a b c (Å): 7.798 7.798 7.798
angles (deg): 144.88 144.88 50.51
Fractional positions:
Ba  0.158  0.158  0.000
Ba  0.842  0.842  0.000
Ca  0.500  0.500  0.000

***

Entry three
Below is a crystal of Ba2Ca relaxed with PBEsol, with properties calculated at the SCAN level.

DOS at the Fermi energy: 5.95 states/eV per cell
Spin magnetization: 0.11 μB per cell
SG: C2/m

a b c (Å): 8.031 8.031 9.929
angles (deg): 104.42 104.42 29.92
Fractional positions:
Ba  0.031  0.031  0.315
Ba  0.359  0.359  0.974
Ba  0.641  0.641  0.026
Ba  0.969  0.969  0.685
Ca  0.301  0.301  0.363
Ca  0.699  0.699  0.637

***

Most stable of them? entry three.

***

Entry one
Below is a crystal of BaCa relaxed with PBEsol, with properties calculated at the SCAN level.

DOS at the Fermi energy: 5.18 states/eV per cell
Spin magnetization: 0.16 μB per cell
SG: Imma

a b c (Å): 7.701 7.701 7.701
angles (deg): 145.87 129.17 62.65
Fractional positions:
Ba  0.367  0.117  0.250
Ba  0.633  0.883  0.750
Ca  0.115  0.365  0.750
Ca  0.885  0.635  0.250

***

Entry two
Below is a crystal of BaCa relaxed with PBEsol, with properties calculated at the SCAN level.

DOS at the Fermi energy: 2.91 states/eV per cell
Spin magnetization: 0.50 μB per cell
SG: Pm-3m

a b c (Å): 4.628 4.628 4.628
angles (deg): 90.00 90.00 90.00
Fractional positions:
Ba  0.000  0.000  0.000
Ca  0.500  0.500  0.500

***

Entry three
Below is a crystal of BaCa relaxed with PBEsol, with properties calculated at the SCAN level.

DOS at the Fermi energy: 2.31 states/eV per cell
Spin magnetization: 0.06 μB per cell
SG: R-3m

a b c (Å): 7.151 7.151 7.151
angles (deg): 33.06 33.06 33.06
Fractional positions:
Ba  0.000  0.000  0.000
Ca  0.500  0.500  0.500

***

Entry four
Below is a crystal of BaCa relaxed with PBEsol, with properties calculated at the SCAN level.

DOS at the Fermi energy: 5.46 states/eV per cell
Spin magnetization: 0.07 μB per cell
SG: Pmma

a b c (Å): 6.741 4.096 7.128
angles (deg): 90.00 90.00 90.00
Fractional positions:
Ba  0.250  0.000  0.172
Ba  0.750  0.000  0.828
Ca  0.250  0.500  0.664
Ca  0.750  0.500  0.336

***

Most stable of them? entry four.

***

Entry one
Below is a crystal of BaCa relaxed with PBEsol, with properties calculated at the SCAN level.

DOS at the Fermi energy: 2.37 states/eV per cell
Spin magnetization: 0.04 μB per cell
SG: P-6m2

a b c (Å): 4.059 4.059 6.741
angles (deg): 90.00 90.00 120.00
Fractional positions:
Ba  0.000  0.000  0.000
Ca  0.333  0.667  0.500

***

Entry two
Below is a crystal of BaCa relaxed with PBEsol, with properties calculated at the SCAN level.

DOS at the Fermi energy: 4.27 states/eV per cell
Spin magnetization: 0.12 μB per cell
SG: Fd-3m

a b c (Å): 6.473 6.473 6.473
angles (deg): 60.00 60.00 60.00
Fractional positions:
Ba  0.125  0.125  0.125
Ba  0.875  0.875  0.875
Ca  0.375  0.375  0.375
Ca  0.625  0.625  0.625

***

Most stable of them? entry two.

***

Entry one
Below is a crystal of BaCa relaxed with PBEsol, with properties calculated at the SCAN level.

DOS at the Fermi energy: 5.30 states/eV per cell
Spin magnetization: 0.29 μB per cell
SG: P6_3/mmc

a b c (Å): 4.066 4.066 13.519
angles (deg): 90.00 90.00 120.00
Fractional positions:
Ba  0.000  0.000  0.000
Ba  0.000  0.000  0.500
Ca  0.333  0.667  0.250
Ca  0.667  0.333  0.750

***

Entry two
Below is a crystal of BaCa relaxed with PBEsol, with properties calculated at the SCAN level.

DOS at the Fermi energy: 4.87 states/eV per cell
Spin magnetization: 0.05 μB per cell
SG: P-3m1

a b c (Å): 4.090 4.090 13.417
angles (deg): 90.00 90.00 120.00
Fractional positions:
Ba  0.333  0.667  0.134
Ba  0.667  0.333  0.866
Ca  0.333  0.667  0.615
Ca  0.667  0.333  0.385

***

Most stable of them? entry two.

***

Entry one
Below is a crystal of Ba3Ca relaxed with PBEsol, with properties calculated at the SCAN level.

DOS at the Fermi energy: 9.95 states/eV per cell
Spin magnetization: 0.56 μB per cell
SG: P6_3/mmc

a b c (Å): 8.452 8.452 6.953
angles (deg): 90.00 90.00 120.00
Fractional positions:
Ba  0.168  0.336  0.250
Ba  0.168  0.832  0.250
Ba  0.336  0.168  0.750
Ba  0.664  0.832  0.250
Ba  0.832  0.168  0.750
Ba  0.832  0.664  0.750
Ca  0.333  0.667  0.750
Ca  0.667  0.333  0.250

***

Entry two
Below is a crystal of Ba3Ca relaxed with PBEsol, with properties calculated at the SCAN level.

DOS at the Fermi energy: 4.63 states/eV per cell
Spin magnetization: 0.05 μB per cell
SG: P2/m

a b c (Å): 4.108 6.684 7.816
angles (deg): 90.00 99.78 90.00
Fractional positions:
Ba  0.000  0.000  0.000
Ba  0.249  0.500  0.744
Ba  0.751  0.500  0.256
Ca  0.500  0.000  0.500

***

Most stable of them? entry one.